First-principles (PBE) data for crystalline Pr4Zn3Ni at its relaxed geometry, as listed in Alexandria via LeMat-Bulk.

Unit cell a=3.671 b=3.671 c=14.682 alpha=90.00 beta=90.00 gamma=90.00
Element x y z (fractional)
Pr 0.000 0.000 0.114
Pr 0.000 0.000 0.372
Pr 0.000 0.000 0.628
Pr 0.000 0.000 0.886
Zn 0.500 0.500 0.246
Zn 0.500 0.500 0.500
Zn 0.500 0.500 0.754
Ni 0.500 0.500 0.000

Results
E_form in eV per atom: -0.272
Symmetry: P4/mmm
Energy relative to the lowest polymorph listed for this composition in meV/atom: 0